Entry from the Alexandria database: a relaxed structure of Sc2H7Rh2 (PBE-GGA).

a b c (Å): 4.631 4.248 4.631
angles (deg): 90.00 94.12 90.00
Fractional coordinates of all 11 atoms:
Sc 0.760 0.500 0.760
Sc 0.240 0.500 0.240
H 0.000 0.225 0.500
H 0.500 0.775 0.000
H 0.000 0.775 0.500
H 0.500 0.225 0.000
H 0.000 0.000 0.000
H 0.500 0.765 0.500
H 0.500 0.235 0.500
Rh 0.736 0.000 0.264
Rh 0.264 0.000 0.736

Calculated values
Mass density = 5533 kg/m3
Crystal system = orthorhombic
D(E_F) = 0.36 states/eV per atom
Uncorrected energy = -5.013 eV/atom

Entry from the Alexandria database: a relaxed structure of Pa3Si2Rh7 (PBE-GGA).

a b c (Å): 3.993 3.993 13.466
angles (deg): 98.53 98.53 90.00
Fractional coordinates of all 12 atoms:
Pa 0.327 0.327 0.655
Pa 0.673 0.673 0.345
Pa 0.500 0.500 0.000
Si 0.129 0.129 0.258
Si 0.871 0.871 0.742
Rh 0.000 0.000 0.000
Rh 0.920 0.420 0.839
Rh 0.420 0.920 0.839
Rh 0.080 0.580 0.161
Rh 0.580 0.080 0.161
Rh 0.219 0.219 0.438
Rh 0.781 0.781 0.562

Calculated values
Mass density = 11623 kg/m3
Crystal system = tetragonal
E_form (uncorrected) = -0.884 eV/atom
D(E_F) = 0.56 states/eV per atom
Uncorrected energy = -8.450 eV/atom

Entry from the Alexandria database: a relaxed structure of Pr12Pb5C2 (PBE-GGA).

a b c (Å): 7.816 9.797 9.957
angles (deg): 104.87 90.00 113.51
Last column: magnetic moment on the atom in μB.
Fractional coordinates of all 19 atoms:
Pr 0.998 0.996 0.171  0.25
Pr 0.094 0.698 0.925  0.19
Pr 0.604 0.698 0.925  0.19
Pr 0.094 0.697 0.425  0.04
Pr 0.604 0.697 0.425  0.04
Pr 0.498 0.996 0.819  0.11
Pr 0.502 0.004 0.181  0.11
Pr 0.906 0.303 0.575  0.04
Pr 0.396 0.303 0.575  0.04
Pr 0.906 0.302 0.075  0.19
Pr 0.396 0.302 0.075  0.19
Pr 0.002 0.004 0.829  0.25
Pb 0.308 0.616 0.650  0.00
Pb 0.314 0.629 0.162  0.00
Pb 0.000 0.000 0.500  0.00
Pb 0.686 0.371 0.838  0.00
Pb 0.692 0.384 0.350  0.00
C 0.746 0.000 0.000  -0.02
C 0.254 0.000 0.000  -0.02

Calculated values
Mass density = 6805 kg/m3
DFT formation energy = -0.224 eV/atom
Crystal system = monoclinic
D(E_F) = 0.99 states/eV per atom
Uncorrected energy = -5.189 eV/atom

Entry from the Alexandria database: a relaxed structure of PrNd3Sm7 (PBE-GGA).

a b c (Å): 6.496 7.829 7.829
angles (deg): 81.45 85.93 85.93
Fractional coordinates of all 11 atoms:
Pr 0.500 0.500 0.500
Nd 0.000 0.827 0.173
Nd 0.500 0.000 0.000
Nd 0.000 0.173 0.827
Sm 0.789 0.237 0.237
Sm 0.739 0.919 0.573
Sm 0.261 0.427 0.081
Sm 0.739 0.573 0.919
Sm 0.000 0.500 0.500
Sm 0.261 0.081 0.427
Sm 0.211 0.763 0.763

Calculated values
Mass density = 6889 kg/m3
DFT formation energy = 0.211 eV/atom
Crystal system = monoclinic
Polymorph energy (0 for the lowest one) = 0 meV/atom
D(E_F) = 1.38 states/eV per atom
Uncorrected energy = -4.527 eV/atom

Entry from the Alexandria database: a relaxed structure of V2Ni5Pt2 (PBE-GGA).

a b c (Å): 4.683 6.751 8.303
angles (deg): 113.99 106.38 90.00
Fractional coordinates of all 18 atoms:
V 0.000 0.861 0.000
V 0.500 0.361 0.000
V 0.368 0.462 0.500
V 0.632 0.962 0.500
Ni 0.320 0.606 0.841
Ni 0.680 0.765 0.159
Ni 0.021 0.106 0.841
Ni 0.979 0.265 0.159
Ni 0.126 0.043 0.333
Ni 0.874 0.710 0.667
Ni 0.707 0.543 0.333
Ni 0.293 0.210 0.667
Ni 0.131 0.818 0.500
Ni 0.869 0.318 0.500
Pt 0.193 0.627 0.185
Pt 0.807 0.443 0.815
Pt 0.492 0.127 0.185
Pt 0.508 0.943 0.815

Calculated values
Mass density = 11436 kg/m3
DFT formation energy = -0.160 eV/atom
Crystal system = orthorhombic
Polymorph energy (0 for the lowest one) = 101 meV/atom
D(E_F) = 1.07 states/eV per atom
Uncorrected energy = -6.741 eV/atom

Entry from the Alexandria database: a relaxed structure of Ba3AlIn (PBE-GGA).

a b c (Å): 6.487 6.487 6.487
angles (deg): 90.00 90.00 90.00
Last column: magnetic moment on the atom in μB.
Fractional coordinates of all 5 atoms:
Al 0.000 0.000 0.000  0.08
Ba 0.000 0.500 0.000  0.14
Ba 0.000 0.000 0.500  0.09
Ba 0.500 0.000 0.000  0.16
In 0.500 0.500 0.500  0.24

Calculated values
Mass density = 3369 kg/m3
DFT formation energy = 0.166 eV/atom
Crystal system = cubic
Polymorph energy (0 for the lowest one) = 0 meV/atom
D(E_F) = 1.02 states/eV per atom
Uncorrected energy = -2.284 eV/atom

Entry from the Alexandria database: a relaxed structure of Sc2UAg2Se6 (PBE-GGA).

a b c (Å): 6.966 6.966 6.797
angles (deg): 94.82 94.82 120.50
Last column: magnetic moment on the atom in μB.
Fractional coordinates of all 11 atoms:
Sc 0.335 0.665 0.500  0.05
Sc 0.665 0.335 0.500  0.05
U 0.000 0.000 0.500  2.01
Ag 0.880 0.120 0.000  0.00
Ag 0.120 0.880 0.000  0.00
Se 0.694 0.694 0.729  -0.03
Se 0.035 0.384 0.724  -0.03
Se 0.306 0.306 0.271  -0.03
Se 0.384 0.035 0.724  -0.03
Se 0.965 0.616 0.276  -0.03
Se 0.616 0.965 0.276  -0.03

Calculated values
Mass density = 6033 kg/m3
Crystal system = monoclinic
E_form (uncorrected) = -1.082 eV/atom
D(E_F) = 0.59 states/eV per atom
Uncorrected energy = -5.679 eV/atom

Entry from the Alexandria database: a relaxed structure of MnMoPb2 (PBE-GGA).

a b c (Å): 5.651 5.651 5.651
angles (deg): 137.01 137.01 62.43
Last column: magnetic moment on the atom in μB.
Fractional coordinates of all 4 atoms:
Mn 0.500 0.500 0.000  3.68
Mo 0.750 0.250 0.500  1.12
Pb 0.000 0.000 0.000  -0.05
Pb 0.250 0.750 0.500  -0.04

Calculated values
Mass density = 11321 kg/m3
DFT formation energy = 0.736 eV/atom
Crystal system = tetragonal
Polymorph energy (0 for the lowest one) = 388 meV/atom
D(E_F) = 0.87 states/eV per atom
Uncorrected energy = -6.118 eV/atom

Entry from the Alexandria database: a relaxed structure of Tm3PaOs4 (PBE-GGA).

a b c (Å): 4.790 4.790 7.577
angles (deg): 108.41 108.42 90.00
Fractional coordinates of all 8 atoms:
Os 0.380 0.380 0.761
Os 0.620 0.620 0.239
Os 0.120 0.120 0.239
Os 0.880 0.880 0.761
Tm 0.000 0.500 0.000
Tm 0.752 0.252 0.504
Tm 0.248 0.748 0.496
Pa 0.500 0.000 0.000

Calculated values
Mass density = 16004 kg/m3
DFT formation energy = -0.325 eV/atom
Crystal system = tetragonal
D(E_F) = 0.32 states/eV per atom
Uncorrected energy = -8.804 eV/atom

Entry from the Alexandria database: a relaxed structure of AcSmSnTe (PBE-GGA).

a b c (Å): 5.648 5.648 5.648
angles (deg): 60.00 60.00 60.00
Fractional coordinates of all 4 atoms:
Ac 0.500 0.500 0.500
Te 0.750 0.750 0.750
Sn 0.250 0.250 0.250
Sm 0.000 0.000 0.000

Calculated values
Mass density = 8128 kg/m3
Crystal system = cubic
E_form (uncorrected) = -0.870 eV/atom
Polymorph energy (0 for the lowest one) = 234 meV/atom
D(E_F) = 0.65 states/eV per atom
Uncorrected energy = -4.863 eV/atom

Entry from the Alexandria database: a relaxed structure of PmTh2In (PBE-GGA).

a b c (Å): 4.780 4.727 11.610
angles (deg): 90.00 101.85 90.00
Fractional coordinates of all 8 atoms:
Pm 0.694 0.750 0.388
Pm 0.306 0.250 0.612
Th 0.560 0.250 0.120
Th 0.440 0.750 0.880
Th 0.059 0.750 0.118
Th 0.941 0.250 0.882
In 0.166 0.250 0.332
In 0.834 0.750 0.668

Calculated values
Mass density = 9364 kg/m3
DFT formation energy = -0.157 eV/atom
Crystal system = orthorhombic
Polymorph energy (0 for the lowest one) = 31 meV/atom
D(E_F) = 1.10 states/eV per atom
Uncorrected energy = -5.739 eV/atom

Entry from the Alexandria database: a relaxed structure of Tm2TiAl2Pd5 (PBE-GGA).

a b c (Å): 3.458 10.129 10.129
angles (deg): 90.00 90.00 90.00
Fractional coordinates of all 20 atoms:
Tm 0.000 0.674 0.174
Tm 0.000 0.326 0.826
Tm 0.000 0.174 0.326
Tm 0.000 0.826 0.674
Ti 0.000 0.000 0.000
Ti 0.000 0.500 0.500
Al 0.000 0.127 0.627
Al 0.000 0.873 0.373
Al 0.000 0.627 0.873
Al 0.000 0.373 0.127
Pd 0.500 0.201 0.050
Pd 0.500 0.799 0.950
Pd 0.500 0.050 0.799
Pd 0.500 0.701 0.450
Pd 0.500 0.950 0.201
Pd 0.500 0.299 0.550
Pd 0.500 0.550 0.701
Pd 0.500 0.450 0.299
Pd 0.500 0.500 0.000
Pd 0.500 0.000 0.500

Calculated values
Mass density = 9097 kg/m3
DFT formation energy = -0.774 eV/atom
Crystal system = tetragonal
D(E_F) = 0.59 states/eV per atom
Uncorrected energy = -5.803 eV/atom

Q: Among the records above, which one has the lowest uncorrected energy?
A: Tm3PaOs4

Q: Look up the D(E_F) of the eighth one.
A: 0.87 states/eV per atom

Q: Among the records above, which one has the lowest uncorrected energy?
A: Tm3PaOs4

Q: uncorrected energy of number 9 (Tm3PaOs4)?
A: -8.804 eV/atom